Record 1
Compound: Ce4SbPt
Source: the Alexandria database
Functional: GGA-PBE
Structure: relaxed

a = 5.925 Å, b = 5.734 Å, c = 9.403 Å
α = 90.00°, β = 96.73°, γ = 90.00°
Space group C2/m (No. 12)
Unique sites:
Ce1 0.027 0.000 0.148 (multiplicity 4)
Ce2 0.071 0.500 0.362 (multiplicity 4)
Sb1 0.000 0.500 0.000 (multiplicity 2)
Pt1 0.000 0.000 0.500 (multiplicity 2)

The calculation puts the calculated total energy at -6.2683 eV/atom. The calculation puts the uncorrected formation energy at -358 kJ/mol of formula units. The density of states at the Fermi level comes out at 35.726 states/eV/cell.


Record 2
Compound: Ti2NiGe
Source: the Alexandria database
Functional: GGA-PBE
Structure: relaxed

a = 6.853 Å, b = 6.853 Å, c = 5.341 Å
α = 90.00°, β = 90.00°, γ = 90.00°
Space group I-42d (No. 122)
Unique sites:
Ti1 0.226 0.250 0.125 (multiplicity 8)
Ni1 0.000 0.000 0.000 (multiplicity 4)
Ge1 0.000 0.000 0.500 (multiplicity 4)

The calculation puts the calculated total energy at -6.6749 eV/atom. The value obtained for the energy of formation is -2.95 kcal/mol of atoms. The density of states at the Fermi level comes out at 17.607 states/eV/cell.


Record 3
Compound: SrCd2PdPb
Source: the Alexandria database
Functional: GGA-PBE
Structure: relaxed

a = 5.245 Å, b = 5.245 Å, c = 5.583 Å
α = 90.00°, β = 90.00°, γ = 90.00°
Space group P4/mmm (No. 123)
Unique sites:
Sr1 0.000 0.000 0.000 (multiplicity 1)
Cd1 0.000 0.500 0.500 (multiplicity 2)
Pd1 0.000 0.000 0.500 (multiplicity 1)
Pb1 0.500 0.500 0.000 (multiplicity 1)

The calculation puts the calculated total energy at -2.6396 eV/atom. As for the offset from the most stable computed form: 7.8 kJ/mol of atoms. The value obtained for the energy of formation is -3.62 kcal/mol of atoms. The density of states at the Fermi level comes out at 3.515 states/eV/cell.


Record 4
Compound: LiGe2Pt7
Source: the Alexandria database
Functional: GGA-PBE
Structure: relaxed

a = 3.983 Å, b = 3.983 Å, c = 20.413 Å
α = 90.00°, β = 90.00°, γ = 90.00°
Space group I4/mmm (No. 139)
Unique sites:
Li1 0.000 0.000 0.000 (multiplicity 2)
Ge1 0.000 0.000 0.328 (multiplicity 4)
Pt1 0.000 0.000 0.500 (multiplicity 2)
Pt2 0.000 0.500 0.095 (multiplicity 8)
Pt3 0.000 0.500 0.250 (multiplicity 4)

The calculation puts the calculated total energy at -5.7337 eV/atom. The value obtained for the energy of formation is -9.00 kcal/mol of atoms. The density of states at the Fermi level comes out at 13.313 states/eV/cell.


Which value of calculated total energy does entry 3 give?
-2.6396 eV/atom


What did the third record say?
Compound: SrCd2PdPb
Source: the Alexandria database
Functional: GGA-PBE
Structure: relaxed

a = 5.245 Å, b = 5.245 Å, c = 5.583 Å
α = 90.00°, β = 90.00°, γ = 90.00°
Space group P4/mmm (No. 123)
Unique sites:
Sr1 0.000 0.000 0.000 (multiplicity 1)
Cd1 0.000 0.500 0.500 (multiplicity 2)
Pd1 0.000 0.000 0.500 (multiplicity 1)
Pb1 0.500 0.500 0.000 (multiplicity 1)

The calculation puts the calculated total energy at -2.6396 eV/atom. As for the offset from the most stable computed form: 7.8 kJ/mol of atoms. The value obtained for the energy of formation is -3.62 kcal/mol of atoms. The density of states at the Fermi level comes out at 3.515 states/eV/cell.


Look up the calculated total energy of the third one.
-2.6396 eV/atom